No. 1
Compound: PrPdAu3
Source: Alexandria via LeMat-Bulk
Functional: GGA-PBE
Structure: optimized geometry

Unit cell a=6.656 b=6.656 c=6.656 alpha=65.19 beta=65.19 gamma=65.19
Fractional positions:
Pr 0.931 0.931 0.931
Pr 0.431 0.431 0.431
Pd 0.752 0.752 0.752
Pd 0.252 0.252 0.252
Au 0.055 0.914 0.367
Au 0.414 0.555 0.867
Au 0.555 0.867 0.414
Au 0.867 0.414 0.555
Au 0.367 0.055 0.914
Au 0.914 0.367 0.055

## Properties
crystal system: trigonal
total DFT energy (no corrections): -21.49 eV per formula unit
E above lowest polymorph: 0.1604 eV per atom
density: 12.0 g/cm3

No. 2
Compound: KIr2Au
Source: Alexandria via LeMat-Bulk
Functional: GGA-PBE
Structure: optimized geometry

Unit cell a=5.673 b=5.673 c=2.604 alpha=90.00 beta=90.00 gamma=118.70
Fractional positions:
Au 0.000 0.500 0.500
Ir 0.000 0.000 0.000
Ir 0.500 0.500 0.000
K 0.500 0.000 0.500

## Properties
crystal system: orthorhombic
total DFT energy (no corrections): -18.75 eV per formula unit
E above lowest polymorph: 0.5235 eV per atom
density: 14.0 g/cm3

No. 3
Compound: Tb12Tm7Sn
Source: Alexandria via LeMat-Bulk
Functional: GGA-PBE
Structure: optimized geometry

Unit cell a=8.691 b=8.691 c=8.691 alpha=88.92 beta=88.92 gamma=88.92
Fractional positions:
Tb 0.009 0.336 0.889
Tb 0.664 0.111 0.991
Tb 0.470 0.124 0.342
Tb 0.876 0.658 0.530
Tb 0.111 0.991 0.664
Tb 0.658 0.530 0.876
Tb 0.342 0.470 0.124
Tb 0.889 0.009 0.336
Tb 0.124 0.342 0.470
Tb 0.530 0.876 0.658
Tb 0.336 0.889 0.009
Tb 0.991 0.664 0.111
Tm 0.219 0.627 0.759
Tm 0.373 0.241 0.781
Tm 0.241 0.781 0.373
Tm 0.500 0.500 0.500
Tm 0.759 0.219 0.627
Tm 0.627 0.759 0.219
Tm 0.781 0.373 0.241
Sn 0.000 0.000 0.000

## Properties
crystal system: trigonal
total DFT energy (no corrections): -87.80 eV per formula unit
density: 8.1 g/cm3

No. 4
Compound: Cd4GaHg3
Source: Alexandria via LeMat-Bulk
Functional: GGA-PBE
Structure: optimized geometry

Unit cell a=5.973 b=7.920 c=7.964 alpha=90.00 beta=90.00 gamma=90.00
Fractional positions:
Hg 0.000 0.814 0.000
Hg 0.250 0.064 0.740
Hg 0.250 0.565 0.260
Hg 0.500 0.314 0.000
Hg 0.750 0.564 0.260
Hg 0.750 0.064 0.740
Ga 0.000 0.814 0.500
Ga 0.500 0.314 0.500
Cd 0.000 0.315 0.000
Cd 0.000 0.314 0.500
Cd 0.250 0.064 0.254
Cd 0.250 0.564 0.746
Cd 0.500 0.814 0.500
Cd 0.500 0.815 0.000
Cd 0.750 0.564 0.746
Cd 0.750 0.064 0.254

## Properties
crystal system: orthorhombic
total DFT energy (no corrections): -7.25 eV per formula unit
E above lowest polymorph: 0.0064 eV per atom
density: 9.9 g/cm3

| no. | energy relative to the elements (eV/atom) |
| --- | --- |
| 1 | -0.34 |
| 2 | 0.84 |
| 3 | 0.15 |
| 4 | 0.04 |